VASP calculation (PBE) on a relaxed structure of AcPmScAl.

Cell: 7.683 7.683 7.683 Å, 90.00 90.00 90.00°
Fractional positions:
Ac (0.000, 0.000, 0.000)
Ac (0.000, 0.500, 0.500)
Ac (0.500, 0.000, 0.500)
Ac (0.500, 0.500, 0.000)
Pm (0.250, 0.250, 0.250)
Pm (0.250, 0.750, 0.750)
Pm (0.750, 0.250, 0.750)
Pm (0.750, 0.750, 0.250)
Sc (0.250, 0.250, 0.750)
Sc (0.250, 0.750, 0.250)
Sc (0.750, 0.250, 0.250)
Sc (0.750, 0.750, 0.750)
Al (0.000, 0.000, 0.500)
Al (0.000, 0.500, 0.000)
Al (0.500, 0.000, 0.000)
Al (0.500, 0.500, 0.500)

Output
SG ... F-43m (216)
Total magnetic moment ... 0.00 μB/f.u.
Energy ... -74.449 eV per cell
N(E_F) ... 29.99 states/eV per cell